1.
A plane-wave DFT calculation with PBE was carried out for a relaxed BeAu2O crystal.

Values from the calculation:
**Uncorrected energy**: -0.135 Ha/atom
**Polymorph energy (0 for the lowest one)**: 0 meV per atom
**Crystal system**: cubic
**Formation energy (no corrections)**: 13.78 kJ per mole of atoms
**M_tot**: 0.000 μB/f.u.

Unit cell a=4.1709 b=4.1709 c=4.1709 alpha=60.00 beta=60.00 gamma=60.00
Element x y z (fractional)
Be: 0.0000 0.0000 0.0000
Au: 0.2500 0.2500 0.2500
Au: 0.7500 0.7500 0.7500
O: 0.5000 0.5000 0.5000

***

2.
A plane-wave DFT calculation with PBE was carried out for a relaxed NaTiO2 crystal.

Values from the calculation:
**Uncorrected energy**: -0.265 Ha/atom
**Crystal system**: trigonal
**Formation energy (no corrections)**: -235.33 kJ per mole of atoms
**M_tot**: 0.967 μB/f.u.

Unit cell a=5.7651 b=5.7651 c=5.7651 alpha=30.55 beta=30.55 gamma=30.55
Element x y z (fractional)
Na: 0.0000 0.0000 0.0000
Ti: 0.5000 0.5000 0.5000
O: 0.2352 0.2352 0.2352
O: 0.7648 0.7648 0.7648

***

> What is the formula in the second record?

NaTiO2

***

> Among the records above, which one has the lowest formation energy (no corrections)?

NaTiO2

***

> Look up the uncorrected energy of the second one.

-0.265 Ha/atom

***

> Which value of formation energy (no corrections) does entry 1 give?

13.78 kJ per mole of atoms